# 1
Eu3Cd | PBE-GGA | relaxed

Structure (POSCAR):
```
Eu3Cd
1.0
0.000 4.099 4.099
4.099 0.000 4.099
4.099 4.099 0.000
Eu Cd
3 1
Direct
0.000 0.000 0.000
0.250 0.250 0.250
0.750 0.750 0.750
0.500 0.500 0.500
```

electronic total energy: -32.061 eV for the cell shown
polymorph energy (0 for the lowest one): 0.032 eV per atom
density: 6.9 g/cm3
energy of formation from the pure elements: -7.8 kJ per mole of atoms

# 2
EuCd | PBE-GGA | relaxed

Structure (POSCAR):
```
EuCd
1.0
3.911 0.000 0.000
0.000 3.911 0.000
0.000 0.000 3.996
Eu Cd
1 1
Direct
0.000 0.000 0.000
0.500 0.500 0.500
```

electronic total energy: -11.888 eV for the cell shown
density: 7.2 g/cm3
energy of formation from the pure elements: -33.7 kJ per mole of atoms

# 3
Eu3Cd | PBE-GGA | relaxed

Structure (POSCAR):
```
Eu3Cd
1.0
5.195 0.000 0.000
0.000 5.195 0.000
0.000 0.000 5.195
Eu Cd
3 1
Direct
0.000 0.000 0.500
0.000 0.500 0.000
0.500 0.000 0.000
0.500 0.500 0.500
```

electronic total energy: -32.190 eV for the cell shown
polymorph energy (0 for the lowest one): 0.000 eV per atom
density: 6.7 g/cm3
energy of formation from the pure elements: -10.9 kJ per mole of atoms

# 4
EuCd | PBE-GGA | relaxed

Structure (POSCAR):
```
EuCd
1.0
0.000 3.315 3.315
3.315 0.000 3.315
3.315 3.315 0.000
Eu Cd
1 1
Direct
0.000 0.000 0.000
0.500 0.500 0.500
```

electronic total energy: -11.402 eV for the cell shown
density: 6.0 g/cm3
energy of formation from the pure elements: -10.3 kJ per mole of atoms

# 5
Eu2CdF | PBE-GGA | relaxed

Structure (POSCAR):
```
Eu2CdF
1.0
3.461 0.000 0.000
0.000 3.461 0.000
0.000 0.000 8.370
Eu Cd F
2 1 1
Direct
0.000 0.000 0.222
0.000 0.000 0.778
0.500 0.500 0.500
0.500 0.500 0.000
```

energy relative to the elements, uncorrected: -112.0 kJ/mol of atoms
electronic total energy: -27.980 eV for the cell shown
polymorph energy (0 for the lowest one): 0.173 eV per atom
density: 7.2 g/cm3

# 6
Eu2CdF | PBE-GGA | relaxed

Structure (POSCAR):
```
Eu2CdF
1.0
1.961 1.132 8.018
-1.961 1.132 8.018
0.000 -2.264 8.018
Eu Cd F
2 1 1
Direct
0.230 0.230 0.230
0.770 0.770 0.770
0.000 0.000 0.000
0.500 0.500 0.500
```

energy relative to the elements, uncorrected: -128.7 kJ/mol of atoms
electronic total energy: -28.670 eV for the cell shown
polymorph energy (0 for the lowest one): 0.000 eV per atom
density: 6.8 g/cm3

# 7
Eu3Cd5F12 | PBE-GGA | relaxed

Structure (POSCAR):
```
Eu3Cd5F12
1.0
-7.117 7.117 7.117
7.117 -7.117 7.117
7.117 7.117 -7.117
Eu Cd F
12 20 48
Direct
0.125 0.250 0.375
0.125 0.375 0.750
0.250 0.375 0.125
0.250 0.875 0.625
0.375 0.125 0.250
0.375 0.750 0.125
0.625 0.250 0.875
0.625 0.875 0.750
0.750 0.125 0.375
0.750 0.625 0.875
0.875 0.625 0.250
0.875 0.750 0.625
0.000 0.000 0.000
0.000 0.000 0.500
0.000 0.500 0.000
0.000 0.500 0.500
0.125 0.750 0.875
0.125 0.875 0.250
0.250 0.125 0.875
0.250 0.625 0.375
0.375 0.250 0.625
0.375 0.625 0.750
0.500 0.000 0.000
0.500 0.000 0.500
0.500 0.500 0.000
0.500 0.500 0.500
0.625 0.375 0.250
0.625 0.750 0.375
0.750 0.375 0.625
0.750 0.875 0.125
0.875 0.125 0.750
0.875 0.250 0.125
0.063 0.221 0.133
0.063 0.342 0.930
0.070 0.633 0.412
0.070 0.937 0.658
0.088 0.721 0.658
0.088 0.867 0.430
0.133 0.063 0.221
0.133 0.570 0.912
0.158 0.221 0.588
0.158 0.437 0.570
0.221 0.133 0.063
0.221 0.588 0.158
0.279 0.342 0.912
0.279 0.437 0.367
0.342 0.912 0.279
0.342 0.930 0.063
0.367 0.279 0.437
0.367 0.588 0.930
0.412 0.070 0.633
0.412 0.842 0.779
0.430 0.088 0.867
0.430 0.842 0.563
0.437 0.367 0.279
0.437 0.570 0.158
0.563 0.430 0.842
0.563 0.633 0.721
0.570 0.158 0.437
0.570 0.912 0.133
0.588 0.158 0.221
0.588 0.930 0.367
0.633 0.412 0.070
0.633 0.721 0.563
0.658 0.070 0.937
0.658 0.088 0.721
0.721 0.563 0.633
0.721 0.658 0.088
0.779 0.412 0.842
0.779 0.867 0.937
0.842 0.563 0.430
0.842 0.779 0.412
0.867 0.430 0.088
0.867 0.937 0.779
0.912 0.133 0.570
0.912 0.279 0.342
0.930 0.063 0.342
0.930 0.367 0.588
0.937 0.658 0.070
0.937 0.779 0.867
```

energy relative to the elements, uncorrected: -238.9 kJ/mol of atoms
electronic total energy: -429.530 eV for the cell shown
density: 5.7 g/cm3

# 8
EuCd2Ga | PBE-GGA | relaxed

Structure (POSCAR):
```
EuCd2Ga
1.0
1.659 0.958 11.124
-1.659 0.958 11.124
0.000 -1.916 11.124
Eu Cd Ga
1 2 1
Direct
0.000 0.000 0.000
0.097 0.097 0.097
0.903 0.903 0.903
0.500 0.500 0.500
```

electronic total energy: -14.481 eV for the cell shown
polymorph energy (0 for the lowest one): 0.413 eV per atom
density: 7.0 g/cm3
energy of formation from the pure elements: 15.7 kJ per mole of atoms